Record 1
# PBE BaY3Re, relaxed
# Total energy in eV per atom: -4.6453
# Magnetic moment in μB per formula unit: 0.00
data_BaY3Re
_chemical_formula_sum 'Ba1 Y3 Re1'
_cell_length_a 5.427
_cell_length_b 5.427
_cell_length_c 5.427
_cell_angle_alpha 90.00
_cell_angle_beta 90.00
_cell_angle_gamma 90.00
_symmetry_space_group_name_H-M 'P 1'
_symmetry_Int_Tables_number 1
_symmetry_space_group_name_Hall 'P 1'
loop_
_atom_site_label
_atom_site_type_symbol
_atom_site_fract_x
_atom_site_fract_y
_atom_site_fract_z
Y1 Y 0.000 0.500 0.000
Y2 Y 0.000 0.000 0.500
Y3 Y 0.500 0.000 0.000
Re1 Re 0.500 0.500 0.500
Ba1 Ba 0.000 0.000 0.000

=====

Record 2
# PBE BaYZn2Re, relaxed
# Total energy in eV per atom: -3.7710
# Magnetic moment in μB per formula unit: 1.20
data_BaYZn2Re
_chemical_formula_sum 'Ba1 Y1 Zn2 Re1'
_cell_length_a 5.509
_cell_length_b 5.145
_cell_length_c 5.509
_cell_angle_alpha 90.00
_cell_angle_beta 90.00
_cell_angle_gamma 90.00
_symmetry_space_group_name_H-M 'P 1'
_symmetry_Int_Tables_number 1
_symmetry_space_group_name_Hall 'P 1'
loop_
_atom_site_label
_atom_site_type_symbol
_atom_site_fract_x
_atom_site_fract_y
_atom_site_fract_z
Y1 Y 0.000 0.000 0.000
Re1 Re 0.000 0.500 0.000
Zn1 Zn 0.000 0.000 0.500
Zn2 Zn 0.500 0.000 0.000
Ba1 Ba 0.500 0.500 0.500

=====

Record 3
# PBE BaZnRe2, relaxed
# Total energy in eV per atom: -6.1246
# Magnetic moment in μB per formula unit: 0.00
data_BaZnRe2
_chemical_formula_sum 'Ba1 Zn1 Re2'
_cell_length_a 2.916
_cell_length_b 4.160
_cell_length_c 7.166
_cell_angle_alpha 90.00
_cell_angle_beta 90.00
_cell_angle_gamma 90.00
_symmetry_space_group_name_H-M 'P 1'
_symmetry_Int_Tables_number 1
_symmetry_space_group_name_Hall 'P 1'
loop_
_atom_site_label
_atom_site_type_symbol
_atom_site_fract_x
_atom_site_fract_y
_atom_site_fract_z
Ba1 Ba 0.500 0.500 0.750
Re1 Re 0.000 0.000 0.090
Re2 Re 0.000 0.000 0.410
Zn1 Zn 0.500 0.500 0.250